[1]
Computed, not measured: an optimized crystal structure of LaCrFe2 at the PBE level of DFT. Values from VASP.

```
&SYSTEM
  ibrav = 0, nat = 4, ntyp = 3
/
ATOMIC_SPECIES
Fe 55.84 Fe.upf
Cr 52.00 Cr.upf
La 138.91 La.upf
CELL_PARAMETERS angstrom
-1.091 -2.699 0.783
2.390 -0.450 1.781
-3.489 2.988 5.437
ATOMIC_POSITIONS angstrom
Fe -2.025 1.735 3.156
Fe -3.209 2.748 5.000
Cr -1.968 0.667 5.360
La -0.223 -0.827 2.641
```

Summary:
distance to the lowest polymorph of the same formula = 132 meV/atom
symmetry = P4/mmm (123)
calculated total energy = -0.2768 hartree per atom

=====

[2]
Computed, not measured: an optimized crystal structure of LaCr4Fe at the PBE level of DFT. Values from VASP.

```
&SYSTEM
  ibrav = 0, nat = 6, ntyp = 3
/
ATOMIC_SPECIES
Fe 55.84 Fe.upf
Cr 52.00 Cr.upf
La 138.91 La.upf
CELL_PARAMETERS angstrom
3.539 -3.568 0.160
0.355 -3.011 4.011
-1.296 -4.844 -0.371
ATOMIC_POSITIONS angstrom
Fe 1.948 -8.567 2.850
Cr 0.978 -4.302 1.431
Cr 1.153 -5.788 3.410
Cr 0.339 -6.692 1.248
Cr 2.725 -6.063 1.510
La 0.000 0.000 0.000
```

Summary:
symmetry = F-43m (216)
calculated total energy = -0.2944 hartree per atom

=====

[3]
Computed, not measured: an optimized crystal structure of LaCrFe2 at the PBE level of DFT. Values from VASP.

```
&SYSTEM
  ibrav = 0, nat = 4, ntyp = 3
/
ATOMIC_SPECIES
Fe 55.84 Fe.upf
Cr 52.00 Cr.upf
La 138.91 La.upf
CELL_PARAMETERS angstrom
-0.475 -4.002 -2.009
-2.575 -3.175 1.888
-3.934 -1.122 -1.882
ATOMIC_POSITIONS angstrom
Fe -1.746 -2.075 -0.501
Fe -5.238 -6.225 -1.502
Cr 0.000 0.000 0.000
La -3.492 -4.150 -1.001
```

Summary:
distance to the lowest polymorph of the same formula = 421 meV/atom
symmetry = Fm-3m (225)
calculated total energy = -0.2661 hartree per atom

=====

[4]
Computed, not measured: an optimized crystal structure of LaCr2Fe2 at the PBE level of DFT. Values from VASP.

```
&SYSTEM
  ibrav = 0, nat = 10, ntyp = 3
/
ATOMIC_SPECIES
Cr 52.00 Cr.upf
Fe 55.84 Fe.upf
La 138.91 La.upf
CELL_PARAMETERS angstrom
-2.658 6.218 -2.539
-5.041 -3.651 -3.665
-1.662 0.159 2.128
ATOMIC_POSITIONS angstrom
Cr -5.535 2.913 -4.540
Cr -2.163 -0.347 -1.664
Cr -5.216 -0.927 -4.005
Cr -2.483 3.494 -2.199
Fe -2.464 1.927 -0.349
Fe -5.026 4.144 -2.515
Fe -6.896 0.798 -3.727
Fe -4.335 -1.418 -1.561
La 0.000 0.000 0.000
La -3.849 1.283 -3.102
```

Summary:
distance to the lowest polymorph of the same formula = 149 meV/atom
symmetry = P4/mbm (127)
calculated total energy = -0.2853 hartree per atom

=====

Looking at D(E_F) for the records above, in order, we have 4.5, 8.2, 10.1, 13.5 states/eV/cell.
Looking at total magnetization for the records above, in order, we have 1.88, 2.28, 5.53, 0.22 Bohr magnetons per cell.
Looking at ΔH_f (0 K) for the records above, in order, we have 1.4, 3.8, 2.5, 2.3 eV per formula unit.